## ZrAgAu (PBE)

Data for a geometry-optimized ZrAgAu structure.

Calculated values
ΔE_f	-0.0348	eV/atom
energy relative to the lowest polymorph listed for this composition	292.4	meV per atom
symmetry	No. 216

abc: 6.462 6.462 6.462
angles: 90.00 90.00 90.00
Atoms (fractional coordinates):
Zr: 0.000 0.000 0.000
Zr: 0.000 0.500 0.500
Zr: 0.500 0.000 0.500
Zr: 0.500 0.500 0.000
Ag: 0.000 0.000 0.500
Ag: 0.000 0.500 0.000
Ag: 0.500 0.000 0.000
Ag: 0.500 0.500 0.500
Au: 0.250 0.250 0.250
Au: 0.250 0.750 0.750
Au: 0.750 0.250 0.750
Au: 0.750 0.750 0.250



## SrSi2Ru (PBE)

Data for a geometry-optimized SrSi2Ru structure.

Calculated values
ΔE_f (raw)	0.401	eV per atom
symmetry	No. 123

abc: 4.133 4.133 4.312
angles: 90.00 90.00 90.00
Atoms (fractional coordinates):
Sr: 0.000 0.000 0.000
Si: 0.000 0.500 0.500
Si: 0.500 0.000 0.500
Ru: 0.500 0.500 0.000



## Sm5SiHg2 (PBE)

Data for a geometry-optimized Sm5SiHg2 structure.

Calculated values
ΔE_f (raw)	-0.405	eV per atom
symmetry	No. 55

abc: 6.780 12.846 5.143
angles: 90.00 90.00 90.00
Atoms (fractional coordinates):
Sm: 0.000 0.000 0.000
Sm: 0.149 0.286 0.000
Sm: 0.156 0.596 0.500
Sm: 0.344 0.096 0.500
Sm: 0.351 0.786 0.000
Sm: 0.500 0.500 0.000
Sm: 0.649 0.214 0.000
Sm: 0.656 0.904 0.500
Sm: 0.844 0.404 0.500
Sm: 0.851 0.714 0.000
Si: 0.000 0.500 0.000
Si: 0.500 0.000 0.000
Hg: 0.101 0.846 0.500
Hg: 0.399 0.346 0.500
Hg: 0.601 0.654 0.500
Hg: 0.899 0.154 0.500



no.,magnetization (μB/f.u.),volume (Å³ per cell)
1,0.6,270
2,0.0,74
3,0.0,448